Entry 1:
Pr8Cd2Ru after structural relaxation. Source: Alexandria, functional PBE.

Cell: 5.609 7.180 9.475 Å, 108.61 107.22 90.00°
Sites, in units of the cell vectors:
Pr 0.350 0.059 0.701
Pr 0.406 0.587 0.813
Pr 0.982 0.215 0.965
Pr 0.801 0.727 0.602
Pr 0.594 0.413 0.187
Cd 0.182 0.701 0.365
Ru 0.500 0.000 0.000
Pr 0.199 0.273 0.398
Pr 0.650 0.941 0.299
Pr 0.018 0.785 0.035
Cd 0.818 0.299 0.635

Formation enthalpy at 0 K in meV per atom: -124.5
DOS at the Fermi energy in states/eV/f.u.: 11.69

Entry 2:
SrYNF2 after structural relaxation. Source: Alexandria, functional PBE.

Cell: 4.325 4.325 5.311 Å, 90.00 90.00 90.00°
Sites, in units of the cell vectors:
N 0.000 0.000 0.500
F 0.000 0.500 0.000
Sr 0.000 0.000 0.000
Y 0.500 0.500 0.500
F 0.500 0.000 0.000

Formation energy (no corrections) in kJ/mol of atoms: -159.4
DOS at the Fermi energy in states/eV/f.u.: 0.58

Entry 3:
Ga2HgCl after structural relaxation. Source: Alexandria, functional PBE.

Cell: 6.373 6.373 7.768 Å, 65.78 65.78 90.00°
Sites, in units of the cell vectors:
Ga 0.630 0.125 0.250
Ga 0.875 0.880 0.750
Ga 0.120 0.625 0.250
Cl 0.500 0.500 0.000
Hg 0.000 0.000 0.000
Hg 0.750 0.250 0.500
Ga 0.375 0.370 0.750
Cl 0.250 0.750 0.500

Formation energy (no corrections) in kJ/mol of atoms: -8.7
DOS at the Fermi energy in states/eV/f.u.: 1.88

Entry 4:
NaZnBi2C after structural relaxation. Source: Alexandria, functional PBE.

Cell: 5.833 3.663 5.833 Å, 90.00 90.00 90.00°
Sites, in units of the cell vectors:
C 0.000 0.500 0.000
Na 0.500 0.500 0.500
Zn 0.000 0.000 0.000
Bi 0.000 0.000 0.500
Bi 0.500 0.000 0.000

Formation enthalpy at 0 K in meV per atom: 820.8
DOS at the Fermi energy in states/eV/f.u.: 3.23

Entry 5:
LaMnGa2Pt5 after structural relaxation. Source: Alexandria, functional PBE.

Cell: 4.055 4.055 11.130 Å, 90.00 90.00 90.00°
Last column: magnetic moment on the atom in μB.
Sites, in units of the cell vectors:
Pt 0.500 0.000 0.146  0.06
Pt 0.500 0.500 0.500  -0.01
La 0.000 0.000 0.500  0.00
Pt 0.500 0.000 0.854  0.06
Ga 0.500 0.500 0.722  -0.01
Mn 0.000 0.000 0.000  3.54
Pt 0.000 0.500 0.146  0.06
Ga 0.500 0.500 0.278  -0.01
Pt 0.000 0.500 0.854  0.06

Formation enthalpy at 0 K in meV per atom: -562.8
DOS at the Fermi energy in states/eV/f.u.: 3.39

Entry 6:
LaPr2Hg3 after structural relaxation. Source: Alexandria, functional PBE.

Cell: 5.471 8.662 7.799 Å, 90.00 90.00 71.59°
Last column: magnetic moment on the atom in μB.
Sites, in units of the cell vectors:
Hg 0.500 0.000 0.254  0.02
La 0.334 0.332 0.000  0.18
Pr 0.668 0.665 0.500  0.22
Hg 0.834 0.332 0.747  0.02
Hg 0.166 0.668 0.253  0.02
Pr 0.000 0.000 0.000  0.22
Hg 0.834 0.332 0.253  0.02
Pr 0.000 0.000 0.500  0.21
Hg 0.166 0.668 0.747  0.02
La 0.666 0.668 0.000  0.18
Pr 0.332 0.335 0.500  0.22
Hg 0.500 0.000 0.746  0.02

Formation enthalpy at 0 K in meV per atom: -481.8
DOS at the Fermi energy in states/eV/f.u.: 6.73

Entry 7:
BeTlRu2 after structural relaxation. Source: Alexandria, functional PBE.

Cell: 4.552 4.552 5.092 Å, 82.66 82.66 37.68°
Sites, in units of the cell vectors:
Tl 0.492 0.492 0.499
Be 0.271 0.271 0.160
Ru 0.738 0.738 0.827
Ru 0.999 0.999 0.015

Formation enthalpy at 0 K in meV per atom: 446.0
DOS at the Fermi energy in states/eV/f.u.: 4.16

Entry 8:
La2Ga3PbAu4 after structural relaxation. Source: Alexandria, functional PBE.

Cell: 4.470 4.470 11.402 Å, 90.00 90.00 90.00°
Sites, in units of the cell vectors:
Pb 0.500 0.500 0.500
Ga 0.500 0.000 0.877
Au 0.000 0.000 0.000
Au 0.500 0.500 0.000
Au 0.500 0.000 0.657
La 0.000 0.500 0.768
Au 0.000 0.500 0.343
Ga 0.000 0.000 0.500
Ga 0.000 0.500 0.123
La 0.500 0.000 0.232

Formation enthalpy at 0 K in meV per atom: -608.9
DOS at the Fermi energy in states/eV/f.u.: 6.54

Entry 9:
LiFeSb2 after structural relaxation. Source: Alexandria, functional PBE.

Cell: 8.069 8.069 8.069 Å, 157.07 156.28 33.23°
Last column: magnetic moment on the atom in μB.
Sites, in units of the cell vectors:
Li 0.307 0.807 0.500  0.00
Sb 0.963 0.963 0.000  -0.06
Fe 0.549 0.549 0.000  1.59
Sb 0.681 0.181 0.500  -0.02

Formation energy (no corrections) in kJ/mol of atoms: -4.4
DOS at the Fermi energy in states/eV/f.u.: 3.60

Entry 10:
ZnCr2Ni after structural relaxation. Source: Alexandria, functional PBE.

Cell: 4.066 3.411 3.411 Å, 90.00 90.00 90.00°
Sites, in units of the cell vectors:
Zn 0.500 0.000 0.500
Cr 0.000 0.500 0.500
Cr 0.000 0.000 0.000
Ni 0.500 0.500 0.000

Formation enthalpy at 0 K in meV per atom: 130.1
DOS at the Fermi energy in states/eV/f.u.: 4.31

Entry 11:
Nd2Al5Au after structural relaxation. Source: Alexandria, functional PBE.

Cell: 6.294 6.294 6.294 Å, 88.25 121.02 121.02°
Sites, in units of the cell vectors:
Nd 0.500 0.266 0.766
Al 0.452 0.741 0.741
Al 0.000 0.741 0.289
Au 0.000 0.889 0.889
Al 0.548 0.289 0.289
Nd 0.500 0.766 0.266
Al 0.000 0.289 0.741
Al 0.000 0.243 0.243

Formation enthalpy at 0 K in meV per atom: -413.8
DOS at the Fermi energy in states/eV/f.u.: 2.93

Entry 12:
DyEr2Sn after structural relaxation. Source: Alexandria, functional PBE.

Cell: 5.445 6.872 6.769 Å, 90.00 90.00 113.34°
Sites, in units of the cell vectors:
Er 0.368 0.737 0.982
Er 0.368 0.737 0.518
Sn 0.173 0.346 0.250
Er 0.632 0.263 0.482
Dy 0.069 0.138 0.750
Dy 0.931 0.862 0.250
Er 0.632 0.263 0.018
Sn 0.827 0.654 0.750

Formation enthalpy at 0 K in meV per atom: -261.4
DOS at the Fermi energy in states/eV/f.u.: 4.48